(1)
A geometry-optimized Tb4TmCo2 structure. Source: Alexandria via LeMat-Bulk, functional PBE.

Energy of formation from the pure elements = -4 kJ per mole of atoms

Lattice parameters (Å, degrees): 7.677 6.342 7.689 90.00 112.84 90.00
Fractional coordinates of all 14 atoms:
Tb 0.022 0.250 0.375
Tb 0.248 0.750 0.326
Tb 0.412 0.002 0.761
Tb 0.412 0.498 0.761
Tb 0.588 0.502 0.239
Tb 0.588 0.998 0.239
Tb 0.752 0.250 0.674
Tb 0.978 0.750 0.625
Tm 0.163 0.250 0.029
Tm 0.837 0.750 0.971
Co 0.261 0.750 0.989
Co 0.372 0.250 0.406
Co 0.628 0.750 0.594
Co 0.739 0.250 0.011

***

(2)
A geometry-optimized SrCdBi structure. Source: Alexandria via LeMat-Bulk, functional PBE.

Offset from the most stable computed form = 0.164 eV/atom
Energy of formation from the pure elements = -38 kJ per mole of atoms

Lattice parameters (Å, degrees): 7.516 7.516 7.516 90.00 90.00 90.00
Fractional coordinates of all 12 atoms:
Sr 0.000 0.000 0.000
Sr 0.000 0.500 0.500
Sr 0.500 0.000 0.500
Sr 0.500 0.500 0.000
Cd 0.250 0.250 0.250
Cd 0.250 0.750 0.750
Cd 0.750 0.250 0.750
Cd 0.750 0.750 0.250
Bi 0.000 0.000 0.500
Bi 0.000 0.500 0.000
Bi 0.500 0.000 0.000
Bi 0.500 0.500 0.500

***

(3)
A geometry-optimized Tb5Pm2Er2 structure. Source: Alexandria via LeMat-Bulk, functional PBE.

Offset from the most stable computed form = 0.201 eV/atom
Energy of formation from the pure elements = 21 kJ per mole of atoms

Lattice parameters (Å, degrees): 10.071 10.071 10.071 84.70 108.42 140.92
Fractional coordinates of all 18 atoms:
Tb 0.046 0.050 0.496
Tb 0.088 0.467 0.908
Tb 0.088 0.680 0.121
Tb 0.249 0.052 0.301
Tb 0.249 0.448 0.697
Tb 0.554 0.550 0.504
Tb 0.559 0.180 0.092
Tb 0.559 0.967 0.879
Tb 0.751 0.552 0.303
Tb 0.751 0.948 0.699
Pm 0.649 0.276 0.627
Pm 0.649 0.523 0.873
Pm 0.650 0.023 0.373
Pm 0.650 0.776 0.127
Er 0.091 0.352 0.239
Er 0.113 0.852 0.761
Er 0.187 0.187 0.000
Er 0.187 0.687 0.500

***

(4)
A geometry-optimized FeOs2Se structure. Source: Alexandria via LeMat-Bulk, functional PBE.

Formation energy without anion corrections = 538 meV per atom

Lattice parameters (Å, degrees): 3.024 3.024 6.234 90.00 90.00 90.00
Fractional coordinates of all 4 atoms:
Fe 0.000 0.000 0.000
Os 0.500 0.500 0.232
Os 0.500 0.500 0.768
Se 0.000 0.000 0.500

***

(5)
A geometry-optimized Tb2MnGa12 structure. Source: Alexandria via LeMat-Bulk, functional PBE.

Energy of formation from the pure elements = -28 kJ per mole of atoms

Lattice parameters (Å, degrees): 5.965 5.965 15.868 90.00 90.00 90.00
Fractional coordinates of all 30 atoms:
Tb 0.250 0.750 0.247
Tb 0.250 0.750 0.753
Tb 0.750 0.250 0.247
Tb 0.750 0.250 0.753
Mn 0.250 0.750 0.000
Mn 0.750 0.250 0.000
Ga 0.000 0.000 0.090
Ga 0.000 0.000 0.910
Ga 0.000 0.500 0.090
Ga 0.000 0.500 0.910
Ga 0.083 0.583 0.432
Ga 0.083 0.917 0.568
Ga 0.250 0.250 0.194
Ga 0.250 0.250 0.347
Ga 0.250 0.250 0.653
Ga 0.250 0.250 0.806
Ga 0.417 0.583 0.568
Ga 0.417 0.917 0.432
Ga 0.500 0.000 0.090
Ga 0.500 0.000 0.910
Ga 0.500 0.500 0.090
Ga 0.500 0.500 0.910
Ga 0.583 0.083 0.568
Ga 0.583 0.417 0.432
Ga 0.750 0.750 0.194
Ga 0.750 0.750 0.347
Ga 0.750 0.750 0.653
Ga 0.750 0.750 0.806
Ga 0.917 0.083 0.432
Ga 0.917 0.417 0.568

***

(6)
A geometry-optimized GeH5Br4 structure. Source: Alexandria via LeMat-Bulk, functional PBE.

E = -2.718 eV per atom

Lattice parameters (Å, degrees): 6.570 6.570 6.570 105.64 105.64 117.45
Fractional coordinates of all 10 atoms:
Ge 0.000 0.000 0.000
H 0.017 0.355 0.912
H 0.105 0.017 0.661
H 0.355 0.444 0.339
H 0.444 0.105 0.088
H 0.770 0.770 0.000
Br 0.086 0.567 0.841
Br 0.245 0.086 0.519
Br 0.567 0.726 0.481
Br 0.726 0.245 0.159

***

(7)
A geometry-optimized CdNiBr structure. Source: Alexandria via LeMat-Bulk, functional PBE.

Formation energy without anion corrections = 203 meV per atom
Offset from the most stable computed form = 0.126 eV/atom

Lattice parameters (Å, degrees): 3.498 5.915 12.248 90.00 90.00 90.00
Fractional coordinates of all 12 atoms:
Cd 0.000 0.000 0.000
Cd 0.000 0.500 0.500
Cd 0.500 0.000 0.500
Cd 0.500 0.500 0.000
Ni 0.000 0.000 0.655
Ni 0.000 0.500 0.155
Ni 0.500 0.000 0.155
Ni 0.500 0.500 0.655
Br 0.000 0.000 0.295
Br 0.000 0.500 0.795
Br 0.500 0.000 0.795
Br 0.500 0.500 0.295

***

(8)
A geometry-optimized YTlCd2F structure. Source: Alexandria via LeMat-Bulk, functional PBE.

Formation energy without anion corrections = -550 meV per atom

Lattice parameters (Å, degrees): 4.858 4.858 5.151 90.00 90.00 90.00
Fractional coordinates of all 5 atoms:
Y 0.000 0.000 0.000
Tl 0.500 0.500 0.000
Cd 0.000 0.500 0.500
Cd 0.500 0.000 0.500
F 0.500 0.500 0.500